No. 1
Computed, not measured: a geometry-optimized Al2CuPdSe4 structure at the GGA-PBE level of DFT.

Magnetization: 0.00 μB/f.u.
Fermi-level density of states: 0.88 states/eV per atom
Formation energy from raw total energies: -0.527 eV per atom

Cell and atoms, written as CIF:
```
data_Al2CuPdSe4
_chemical_formula_sum 'Al2 Cu1 Pd1 Se4'
_cell_length_a 5.555
_cell_length_b 5.555
_cell_length_c 7.108
_cell_angle_alpha 113.01
_cell_angle_beta 113.01
_cell_angle_gamma 90.01
_symmetry_space_group_name_H-M 'P 1'
_symmetry_Int_Tables_number 1
loop_
_symmetry_equiv_pos_as_xyz
'x,y,z'
loop_
_atom_site_label
_atom_site_fract_x
_atom_site_fract_y
_atom_site_fract_z
Al1 0.750 0.250 0.500
Se1 0.131 0.131 0.745
Se2 0.614 0.614 0.745
Cu1 0.500 0.500 0.000
Al2 0.250 0.750 0.500
Pd1 0.000 0.000 0.000
Se3 0.386 0.869 0.255
Se4 0.869 0.386 0.255
```



No. 2
Computed, not measured: a geometry-optimized InHgW2 structure at the GGA-PBE level of DFT.

Magnetization: 0.00 μB/f.u.
Fermi-level density of states: 0.62 states/eV per atom
E: -25.879 eV for the cell shown

Cell and atoms, written as CIF:
```
data_InHgW2
_chemical_formula_sum 'In1 Hg1 W2'
_cell_length_a 4.877
_cell_length_b 2.899
_cell_length_c 5.299
_cell_angle_alpha 84.84
_cell_angle_beta 90.00
_cell_angle_gamma 90.00
_symmetry_space_group_name_H-M 'P 1'
_symmetry_Int_Tables_number 1
loop_
_symmetry_equiv_pos_as_xyz
'x,y,z'
loop_
_atom_site_label
_atom_site_fract_x
_atom_site_fract_y
_atom_site_fract_z
W1 0.000 0.443 0.516
In1 0.500 0.750 0.750
Hg1 0.500 0.250 0.250
W2 0.000 0.057 0.984
```



Which of these has the highest Fermi-level density of states?
Al2CuPdSe4



Which of these has the lowest Fermi-level density of states?
InHgW2